A geometry-optimized La2TbPb3 structure. Source: Alexandria via LeMat-Bulk, functional GGA-PBE.

abc: 5.1208 8.1210 9.2222
angles: 90.00 90.00 72.31
Closest atoms and distances in Å follow each position.
Element x y z (fractional)
La 0.0000 0.0000 0.0000  8 Pb 3.40-3.45, 4 Tb 3.64-3.68
La 0.0000 0.0000 0.5000  8 Pb 3.49-3.53, 4 La 3.60-3.65
La 0.3341 0.3314 0.5000  8 Pb 3.48-3.49, 4 La 3.60-3.68
La 0.6659 0.6686 0.5000  8 Pb 3.48-3.49, 4 La 3.60-3.68
Tb 0.3310 0.3376 0.0000  8 Pb 3.36-3.44, 2 Tb 3.57-3.61, 2 La 3.64-3.68
Tb 0.6690 0.6624 0.0000  8 Pb 3.36-3.44, 2 Tb 3.57-3.61, 2 La 3.64-3.68
Pb 0.8304 0.3387 0.7563  3 Tb 3.36-3.41, 5 La 3.45-3.53, 4 Pb 3.56-3.69
Pb 0.5000 0.0000 0.2434  6 La 3.40-3.49, 2 Tb 3.44, 4 Pb 3.64-3.69
Pb 0.1696 0.6613 0.2437  3 Tb 3.36-3.41, 5 La 3.45-3.53, 4 Pb 3.56-3.69
Pb 0.8305 0.3387 0.2437  3 Tb 3.36-3.41, 5 La 3.45-3.53, 4 Pb 3.56-3.69
Pb 0.1695 0.6613 0.7563  3 Tb 3.36-3.41, 5 La 3.45-3.53, 4 Pb 3.56-3.69
Pb 0.5000 0.0000 0.7566  6 La 3.40-3.49, 2 Tb 3.44, 4 Pb 3.64-3.69

Results
* E above lowest polymorph: 0 meV per atom
* volume: 30.4 Å³ per atom